No. 1
PBE-GGA B5C7, optimized geometry; density of states at the Fermi level = 1.888 states/eV per cell; E = -93.5 eV for the cell shown; magnetization = 0.00 μB/f.u.; energy of formation from the pure elements = 373 meV per atom
1.0
2.617 0.000 0.000
0.000 4.527 -0.011
0.000 -0.014 6.648
C B
7 5
Direct
0.500 0.834 0.591
0.000 0.977 0.236
0.000 0.669 0.656
0.000 0.334 0.595
0.000 0.994 0.015
0.500 0.170 0.669
0.500 0.511 0.990
0.000 0.669 0.911
0.000 0.305 0.355
0.500 0.489 0.216
0.500 0.172 0.917
0.500 0.878 0.348

No. 2
PBE-GGA BaNbF3, optimized geometry; density of states at the Fermi level = 2.344 states/eV per cell; E = -28.0 eV for the cell shown; magnetization = 3.77 μB/f.u.; raw formation energy = -2.08 eV per atom
1.0
-3.561 -2.552 1.316
1.070 -3.125 -3.165
2.665 -2.156 3.029
F Ba Nb
3 1 1
Direct
0.000 0.500 0.000
0.500 0.000 0.000
0.000 0.000 0.500
0.500 0.500 0.500
0.000 0.000 0.000

No. 3
PBE-GGA Pm3HgBi2, optimized geometry; density of states at the Fermi level = 6.774 states/eV per cell; E = -26.4 eV for the cell shown; magnetization = 0.00 μB/f.u.; energy of formation from the pure elements = -677 meV per atom
1.0
-1.919 -4.029 0.876
5.626 -2.217 2.131
-3.406 5.230 4.788
Bi Pm Hg
2 3 1
Direct
0.666 0.166 0.333
0.334 0.834 0.667
0.329 0.329 0.657
0.000 0.000 0.000
0.671 0.671 0.343
0.000 0.500 0.000

No. 4
PBE-GGA CaIn2Pb2, optimized geometry; density of states at the Fermi level = 4.400 states/eV per cell; E = -31.2 eV for the cell shown; magnetization = 0.00 μB/f.u.; energy of formation from the pure elements = -141 meV per atom
1.0
-8.225 -2.388 1.505
2.071 -1.956 8.216
-0.881 3.736 1.112
Ca Pb In
2 4 4
Direct
0.500 0.500 0.000
0.000 0.000 0.000
0.671 0.829 0.500
0.171 0.671 0.500
0.829 0.329 0.500
0.329 0.171 0.500
0.874 0.626 0.000
0.626 0.126 0.000
0.126 0.374 0.000
0.374 0.874 0.000